Version w
Density functional theory data (GGA-PBE) for crystalline Na2TlBi2 at its relaxed geometry.

```
10
Lattice="5.850 -2.634 0.000 5.850 2.634 0.000 -4.061 0.000 10.711" Properties=species:S:1:pos:R:3 pbc="T T T"
Na -1.184 0.000 3.353
Na 1.583 0.000 0.783
Na 6.056 0.000 9.928
Na 8.823 0.000 7.358
Tl 0.856 0.000 6.801
Tl 6.782 0.000 3.910
Bi 2.772 0.000 4.141
Bi 4.896 0.000 1.273
Bi 2.743 0.000 9.438
Bi 4.867 0.000 6.570
```

Results
Fermi-level density of states	2.1	states/eV/f.u.

=====

Version x
Density functional theory data (GGA-PBE) for crystalline Na2TlBi2 at its relaxed geometry.

```
10
Lattice="5.146 0.000 0.000 0.000 5.146 0.000 0.000 0.000 13.385" Properties=species:S:1:pos:R:3 pbc="T T T"
Na 0.000 2.573 3.346
Na 0.000 2.573 10.039
Na 2.573 0.000 3.346
Na 2.573 0.000 10.039
Tl 0.000 0.000 0.000
Tl 2.573 2.573 6.692
Bi 0.000 0.000 5.258
Bi 0.000 0.000 8.127
Bi 2.573 2.573 1.434
Bi 2.573 2.573 11.951
```

Results
Fermi-level density of states	2.0	states/eV/f.u.

=====

Version y
Density functional theory data (GGA-PBE) for crystalline Na2TlBi2 at its relaxed geometry.

```
10
Lattice="9.326 0.000 0.000 0.000 9.326 0.000 0.000 0.000 3.602" Properties=species:S:1:pos:R:3 pbc="T T T"
Na 1.634 3.029 0.000
Na 3.029 7.692 0.000
Na 6.297 1.634 0.000
Na 7.692 6.297 0.000
Tl 0.000 0.000 1.801
Tl 4.663 4.663 1.801
Bi 1.118 5.781 1.801
Bi 3.545 1.118 1.801
Bi 5.781 8.207 1.801
Bi 8.207 3.545 1.801
```

Results
Fermi-level density of states	2.9	states/eV/f.u.

=====

Version z
Density functional theory data (GGA-PBE) for crystalline Na2TlBi2 at its relaxed geometry.

```
10
Lattice="10.353 0.000 0.000 0.000 5.222 0.000 -4.658 0.000 5.714" Properties=species:S:1:pos:R:3 pbc="T T T"
Na 1.543 0.000 0.713
Na -1.024 2.611 5.001
Na 6.719 2.611 0.713
Na 4.152 0.000 5.001
Tl -2.329 0.000 2.857
Tl 2.847 2.611 2.857
Bi -0.417 2.611 1.500
Bi 0.936 0.000 4.214
Bi 4.759 0.000 1.500
Bi 6.112 2.611 4.214
```

Results
Fermi-level density of states	2.5	states/eV/f.u.

=====

Energies, relative to the best one, in eV/atom: version w 0.000; version x 0.098; version y 0.036; version z 0.015.

=====

Version w
Density functional theory data (GGA-PBE) for crystalline Na2TlBi6 at its relaxed geometry.

```
9
Lattice="6.373 -6.647 0.000 6.373 6.647 0.000 -1.233 0.000 3.848" Properties=species:S:1:pos:R:3 pbc="T T T"
Na 1.882 0.000 0.596
Na 9.631 0.000 3.252
Tl 6.373 0.000 0.000
Bi 3.774 2.592 1.249
Bi 5.756 4.784 1.924
Bi 7.738 2.592 2.599
Bi 3.774 -2.592 1.249
Bi 5.756 -4.784 1.924
Bi 7.738 -2.592 2.599
```

Results
Fermi-level density of states	3.5	states/eV/f.u.

=====

Version x
Density functional theory data (GGA-PBE) for crystalline Na2TlBi6 at its relaxed geometry.

```
9
Lattice="4.435 -4.957 0.000 4.435 4.957 0.000 -1.084 0.000 6.549" Properties=species:S:1:pos:R:3 pbc="T T T"
Na 1.312 0.000 1.105
Na 6.475 0.000 5.444
Tl 3.893 0.000 3.275
Bi 0.730 1.626 4.397
Bi 7.057 -1.626 2.152
Bi 0.730 -1.626 4.397
Bi 4.435 1.694 0.000
Bi 4.435 -1.694 0.000
Bi 7.057 1.626 2.152
```

Results
Fermi-level density of states	4.0	states/eV/f.u.

=====

Energies, relative to the best one, in eV/atom: version w 0.118; version x 0.000.

=====

Version w
Density functional theory data (GGA-PBE) for crystalline NaTlBi at its relaxed geometry.

```
12
Lattice="7.551 0.000 0.000 0.000 7.551 0.000 0.000 0.000 7.551" Properties=species:S:1:pos:R:3 pbc="T T T"
Na 0.000 0.000 0.000
Na 0.000 3.775 3.775
Na 3.775 0.000 3.775
Na 3.775 3.775 0.000
Tl 0.000 0.000 3.775
Tl 0.000 3.775 0.000
Tl 3.775 0.000 0.000
Tl 3.775 3.775 3.775
Bi 1.888 1.888 1.888
Bi 1.888 5.663 5.663
Bi 5.663 1.888 5.663
Bi 5.663 5.663 1.888
```

Results
Fermi-level density of states	1.9	states/eV/f.u.

=====

Version x
Density functional theory data (GGA-PBE) for crystalline NaTlBi at its relaxed geometry.

```
6
Lattice="4.137 0.000 0.000 0.000 4.137 0.000 0.000 0.000 10.699" Properties=species:S:1:pos:R:3 pbc="T T T"
Na 0.000 0.000 0.000
Na 2.069 2.069 5.349
Tl 0.000 0.000 7.218
Tl 2.069 2.069 1.869
Bi 0.000 0.000 3.519
Bi 2.069 2.069 8.868
```

Results
Fermi-level density of states	1.9	states/eV/f.u.

=====

Version y
Density functional theory data (GGA-PBE) for crystalline NaTlBi at its relaxed geometry.

```
3
Lattice="5.434 0.000 0.000 -2.717 4.706 0.000 0.000 0.000 3.557" Properties=species:S:1:pos:R:3 pbc="T T T"
Na 0.000 0.000 0.000
Tl 0.000 3.137 1.132
Bi 2.717 1.569 2.223
```

Results
Fermi-level density of states	0.9	states/eV/f.u.

=====

Version z
Density functional theory data (GGA-PBE) for crystalline NaTlBi at its relaxed geometry.

```
12
Lattice="3.459 -5.739 0.000 3.459 5.739 0.000 0.000 0.000 9.363" Properties=species:S:1:pos:R:3 pbc="T T T"
Na 1.730 1.407 2.341
Na 1.730 -1.407 7.022
Na 5.189 1.407 2.341
Na 5.189 -1.407 7.022
Tl 3.459 4.337 3.851
Tl 3.459 1.402 8.532
Tl 3.459 -1.402 0.830
Tl 3.459 -4.337 5.511
Bi 3.459 4.291 0.639
Bi 3.459 1.448 5.320
Bi 3.459 -1.448 4.042
Bi 3.459 -4.291 8.724
```

Results
Fermi-level density of states	1.2	states/eV/f.u.

=====

Energies, relative to the best one, in eV/atom: version w 0.081; version x 0.036; version y 0.000; version z 0.044.

=====

Version w
Density functional theory data (GGA-PBE) for crystalline Na2Tl8Bi at its relaxed geometry.

```
11
Lattice="8.937 -3.268 0.000 8.937 3.268 0.000 -1.972 0.000 6.059" Properties=species:S:1:pos:R:3 pbc="T T T"
Na 2.704 0.000 2.012
Na 13.198 0.000 4.047
Tl 6.735 1.618 1.830
Tl 2.849 0.000 5.477
Tl 9.167 1.618 4.228
Tl 5.944 0.000 4.761
Tl 9.958 0.000 1.297
Tl 6.735 -1.618 1.830
Tl 13.053 0.000 0.582
Tl 9.167 -1.618 4.228
Bi 0.000 0.000 0.000
```

Results
Fermi-level density of states	3.8	states/eV/f.u.

=====

Version x
Density functional theory data (GGA-PBE) for crystalline Na2Tl8Bi at its relaxed geometry.

```
11
Lattice="6.586 -5.303 0.000 6.586 5.303 0.000 -1.582 0.000 5.433" Properties=species:S:1:pos:R:3 pbc="T T T"
Na 1.753 0.000 0.292
Na 9.837 0.000 5.141
Tl 4.444 2.484 3.814
Tl 2.461 0.000 3.413
Tl 7.146 2.484 1.618
Tl 5.054 0.000 1.162
Tl 6.536 0.000 4.271
Tl 4.444 -2.484 3.814
Tl 9.129 0.000 2.020
Tl 7.146 -2.484 1.618
Bi -0.791 0.000 2.716
```

Results
Fermi-level density of states	5.0	states/eV/f.u.

=====

Energies, relative to the best one, in eV/atom: version w 0.000; version x 0.060.

=====

Version w
Density functional theory data (GGA-PBE) for crystalline Na2Tl4Bi3 at its relaxed geometry.

```
18
Lattice="3.286 -8.954 0.000 3.286 8.954 0.000 0.000 0.000 10.455" Properties=species:S:1:pos:R:3 pbc="T T T"
Na 3.286 7.307 9.494
Na 3.286 1.647 4.267
Na 3.286 -1.647 6.188
Na 3.286 -7.307 0.961
Tl 3.286 5.715 5.247
Tl 1.643 1.227 7.841
Tl 1.643 -1.227 2.614
Tl 3.286 3.239 0.019
Tl 3.286 -3.239 10.436
Tl 4.929 1.227 7.841
Tl 4.929 -1.227 2.614
Tl 3.286 -5.715 5.208
Bi 0.000 0.000 5.227
Bi 1.643 4.386 2.614
Bi 1.643 -4.386 7.841
Bi 3.286 0.000 0.000
Bi 4.929 4.386 2.614
Bi 4.929 -4.386 7.841
```

Results
Fermi-level density of states	3.6	states/eV/f.u.

=====

Version x
Density functional theory data (GGA-PBE) for crystalline Na2Tl4Bi3 at its relaxed geometry.

```
9
Lattice="5.547 0.000 0.000 -2.773 4.803 0.000 0.000 0.000 10.393" Properties=species:S:1:pos:R:3 pbc="T T T"
Na 0.000 3.202 2.765
Na 2.773 1.601 7.628
Tl 0.000 0.000 1.793
Tl 0.000 0.000 8.601
Tl 0.000 3.202 6.260
Tl 2.773 1.601 4.134
Bi 0.000 0.000 5.197
Bi 0.000 3.202 9.650
Bi 2.773 1.601 0.744
```

Results
Fermi-level density of states	1.6	states/eV/f.u.

=====

Energies, relative to the best one, in eV/atom: version w 0.077; version x 0.000.

=====

Version w
Density functional theory data (GGA-PBE) for crystalline Na3Tl7Bi2 at its relaxed geometry.

```
12
Lattice="5.632 0.000 0.000 -0.560 6.714 0.000 -0.185 -2.147 9.688" Properties=species:S:1:pos:R:3 pbc="T T T"
Na 0.000 0.000 0.000
Na -0.178 0.258 6.388
Na 5.066 4.309 3.300
Tl -0.280 3.357 0.000
Tl 2.207 5.708 1.742
Tl 2.242 3.930 4.863
Tl 2.316 2.235 8.090
Tl 2.571 2.332 1.597
Tl 2.646 0.637 4.825
Tl 2.681 -1.141 7.946
Bi -0.549 3.642 6.656
Bi 5.436 0.925 3.031
```

Results
Fermi-level density of states	4.9	states/eV/f.u.

=====

Version x
Density functional theory data (GGA-PBE) for crystalline Na3Tl7Bi2 at its relaxed geometry.

```
12
Lattice="3.282 1.895 10.857 -3.282 1.895 10.857 0.000 -3.789 10.857" Properties=species:S:1:pos:R:3 pbc="T T T"
Na 0.000 0.000 0.000
Na 0.000 0.000 4.389
Na 0.000 0.000 28.181
Tl -1.678 -0.969 13.651
Tl 0.000 -1.937 18.919
Tl -1.678 0.969 18.919
Tl 0.000 0.000 16.285
Tl 1.678 -0.969 13.651
Tl 0.000 1.937 13.651
Tl 1.678 0.969 18.919
Bi 0.000 0.000 10.897
Bi 0.000 0.000 21.673
```

Results
Fermi-level density of states	4.7	states/eV/f.u.

=====

Energies, relative to the best one, in eV/atom: version w 0.000; version x 0.091.

=====

Version w
Density functional theory data (GGA-PBE) for crystalline Na3Tl3Bi at its relaxed geometry.

```
14
Lattice="4.225 2.439 7.347 -4.225 2.439 7.347 0.000 -4.879 7.347" Properties=species:S:1:pos:R:3 pbc="T T T"
Na -3.044 -0.642 9.971
Na -0.966 -2.957 12.071
Na -2.078 2.315 12.071
Na 2.078 -2.315 9.971
Na 0.966 2.957 9.971
Na 3.044 0.642 12.071
Tl -0.624 -1.923 8.080
Tl -1.353 1.501 8.080
Tl -1.977 -0.421 13.962
Tl 1.977 0.421 8.080
Tl 1.353 -1.501 13.962
Tl 0.624 1.923 13.962
Bi 0.000 0.000 2.264
Bi 0.000 0.000 19.778
```

Results
Fermi-level density of states	3.5	states/eV/f.u.

=====

Version x
Density functional theory data (GGA-PBE) for crystalline Na3Tl3Bi at its relaxed geometry.

```
14
Lattice="9.361 0.000 0.000 0.000 5.412 0.000 -4.680 0.000 8.111" Properties=species:S:1:pos:R:3 pbc="T T T"
Na -0.327 1.353 1.008
Na -1.633 4.059 4.845
Na 3.641 4.059 0.218
Na 1.040 1.353 7.893
Na 6.315 1.353 3.266
Na 5.008 4.059 7.103
Tl 0.978 4.059 2.535
Tl 0.345 1.353 4.475
Tl 2.976 1.353 2.113
Tl 1.705 4.059 5.998
Tl 4.336 4.059 3.636
Tl 3.703 1.353 5.576
Bi -2.340 1.353 6.756
Bi 7.022 4.059 1.355
```

Results
Fermi-level density of states	2.7	states/eV/f.u.

=====

Version y
Density functional theory data (GGA-PBE) for crystalline Na3Tl3Bi at its relaxed geometry.

```
14
Lattice="8.196 0.000 0.000 0.000 8.196 0.000 0.000 0.000 8.196" Properties=species:S:1:pos:R:3 pbc="T T T"
Na 0.000 2.049 4.098
Na 0.000 6.147 4.098
Na 2.049 4.098 0.000
Na 4.098 0.000 2.049
Na 4.098 0.000 6.147
Na 6.147 4.098 0.000
Tl 0.000 4.098 2.049
Tl 0.000 4.098 6.147
Tl 2.049 0.000 4.098
Tl 4.098 2.049 0.000
Tl 4.098 6.147 0.000
Tl 6.147 0.000 4.098
Bi 0.000 0.000 0.000
Bi 4.098 4.098 4.098
```

Results
Fermi-level density of states	1.9	states/eV/f.u.

=====

Energies, relative to the best one, in eV/atom: version w 0.089; version x 0.000; version y 0.622.

=====

Version w
Density functional theory data (GGA-PBE) for crystalline Na4Tl5Bi at its relaxed geometry.

```
10
Lattice="8.736 -2.257 0.000 8.736 2.257 0.000 -6.142 0.000 8.533" Properties=species:S:1:pos:R:3 pbc="T T T"
Na -1.101 0.000 2.572
Na 5.423 0.000 0.890
Na 5.907 0.000 7.643
Na 12.431 0.000 5.960
Tl 1.940 0.000 1.175
Tl -1.179 0.000 5.815
Tl 8.736 0.000 0.000
Tl 12.510 0.000 2.718
Tl 9.390 0.000 7.358
Bi 5.665 0.000 4.266
```

Results
Fermi-level density of states	4.5	states/eV/f.u.

=====

Version x
Density functional theory data (GGA-PBE) for crystalline Na4Tl5Bi at its relaxed geometry.

```
10
Lattice="4.099 0.000 0.000 0.000 4.099 0.000 0.000 0.000 17.533" Properties=species:S:1:pos:R:3 pbc="T T T"
Na 0.000 0.000 1.756
Na 0.000 0.000 5.281
Na 0.000 0.000 12.252
Na 0.000 0.000 15.777
Tl 2.050 2.050 0.000
Tl 2.050 2.050 3.483
Tl 2.050 2.050 7.054
Tl 2.050 2.050 10.479
Tl 2.050 2.050 14.051
Bi 0.000 0.000 8.767
```

Results
Fermi-level density of states	4.5	states/eV/f.u.

=====

Energies, relative to the best one, in eV/atom: version w 0.048; version x 0.000.

=====

Version w
Density functional theory data (GGA-PBE) for crystalline Na2Tl3Bi4 at its relaxed geometry.

```
9
Lattice="5.757 -2.246 0.000 5.757 2.246 0.000 -3.870 0.000 10.974" Properties=species:S:1:pos:R:3 pbc="T T T"
Na 0.983 0.000 2.404
Na 6.661 0.000 8.570
Tl -0.287 0.000 6.082
Tl 5.757 0.000 0.000
Tl 7.932 0.000 4.892
Bi -1.490 0.000 9.691
Bi 4.292 0.000 3.426
Bi 3.353 0.000 7.548
Bi 9.135 0.000 1.283
```

Results
Fermi-level density of states	3.6	states/eV/f.u.

=====

Version x
Density functional theory data (GGA-PBE) for crystalline Na2Tl3Bi4 at its relaxed geometry.

```
9
Lattice="5.663 0.000 0.000 2.771 5.712 0.000 0.563 1.665 8.964" Properties=species:S:1:pos:R:3 pbc="T T T"
Na 1.477 0.895 2.974
Na 7.521 6.482 5.990
Tl 1.386 2.856 0.000
Tl 4.744 4.483 5.989
Tl 4.254 2.895 2.975
Bi 1.910 2.684 5.934
Bi 4.757 6.677 8.551
Bi 4.241 0.700 0.413
Bi 7.087 4.694 3.030
```

Results
Fermi-level density of states	3.5	states/eV/f.u.

=====

Energies, relative to the best one, in eV/atom: version w 0.000; version x 0.012.